# 1
AcPbSe | GGA-PBE | relaxed

Cell and atoms, written as CIF:
```
data_AcPbSe
_chemical_formula_sum 'Ac2 Pb2 Se2'
_space_group_name_H-M_alt 'P m m n'
_space_group_IT_number 59
_cell_length_a 4.4055
_cell_length_b 4.4149
_cell_length_c 10.0213
_cell_angle_alpha 90.00
_cell_angle_beta 90.00
_cell_angle_gamma 90.00
loop_
_space_group_symop_operation_xyz
'x,y,z'
'-x,-y,-z'
'-x+1/2,-y+1/2,z'
'x+1/2,y+1/2,-z'
'x+1/2,-y,-z'
'-x+1/2,y,z'
'-x,y+1/2,-z'
'x,-y+1/2,z'
loop_
_atom_site_label
_atom_site_type_symbol
_atom_site_fract_x
_atom_site_fract_y
_atom_site_fract_z
Ac1 Ac 0.2500 0.2500 0.1898
Pb1 Pb 0.2500 0.7500 0.4780
Se1 Se 0.2500 0.2500 0.8741
```

Results
Its total magnetization is 0.00 μB per formula unit. For the total DFT energy (no corrections), the calculation gives -5.0165 eV/atom. For the raw formation energy, the calculation gives -1.249 eV/atom. For the volume, the calculation gives 194.91 Å³ per cell. The relative energy among the computed polymorphs is 0 meV per atom.



# 2
Ac3Pb4Se8 | GGA-PBE | relaxed

Cell and atoms, written as CIF:
```
data_Ac3Pb4Se8
_chemical_formula_sum 'Ac6 Pb8 Se16'
_space_group_name_H-M_alt 'C 1 2/m 1'
_space_group_IT_number 12
_space_group_name_Hall '-C 2y'
_cell_length_a 12.4705
_cell_length_b 12.5466
_cell_length_c 8.8038
_cell_angle_alpha 90.00
_cell_angle_beta 134.30
_cell_angle_gamma 90.00
loop_
_atom_site_label
_atom_site_type_symbol
_atom_site_fract_x
_atom_site_fract_y
_atom_site_fract_z
Ac1 Ac 0.0000 0.0000 0.0000
Ac2 Ac 0.2500 0.2500 0.5000
Pb1 Pb 0.0000 0.5000 0.0000
Pb2 Pb 0.0000 0.5000 0.5000
Pb3 Pb 0.2500 0.2500 0.0000
Se1 Se 0.0000 0.2505 0.0000
Se2 Se 0.0000 0.2517 0.5000
Se3 Se 0.2481 0.5000 0.9929
Se4 Se 0.2503 0.0000 0.4993
```

Results
Its total magnetization is 0.00 μB per formula unit. For the total DFT energy (no corrections), the calculation gives -4.8481 eV/atom. For the raw formation energy, the calculation gives -1.179 eV/atom. For the volume, the calculation gives 985.90 Å³ per cell.